Here is crystalline KLa2Ni at its relaxed geometry from the Alexandria database. Energies are from PBE-GGA. Values from VASP.

```
&SYSTEM
  ibrav = 0, nat = 4, ntyp = 3
/
ATOMIC_SPECIES
K 39.10 K.upf
Ni 58.69 Ni.upf
La 138.91 La.upf
CELL_PARAMETERS angstrom
4.2403 -0.0518 0.0797
2.2749 3.5787 0.0797
1.7448 0.9445 10.7597
ATOMIC_POSITIONS angstrom
K 2.0650 1.1179 2.7298
Ni 6.1950 3.3536 8.1893
La 1.8258 0.9884 9.5420
La 4.0490 2.1919 6.6773
```

Properties
DFT formation energy = -0.0587 eV per atom
Space group = C2/m, No. 12


Here is crystalline CuAgBr5 at its relaxed geometry from the Alexandria database. Energies are from PBE-GGA. Values from VASP.

```
&SYSTEM
  ibrav = 0, nat = 14, ntyp = 3
/
ATOMIC_SPECIES
Br 79.90 Br.upf
Ag 107.87 Ag.upf
Cu 63.55 Cu.upf
CELL_PARAMETERS angstrom
6.7026 0.2858 0.6648
2.3975 6.2656 0.6648
4.1311 2.9741 11.0420
ATOMIC_POSITIONS angstrom
Br 8.4734 4.0434 6.7037
Br 7.0612 1.9657 3.4253
Ag 5.5454 4.0711 3.4253
Br 9.1487 7.6480 8.1022
Br 6.1699 7.5598 8.9464
Br 8.7739 4.2597 11.1890
Br 5.1413 4.7629 9.7905
Br 4.7577 5.4822 5.6680
Cu 0.0000 0.0000 0.0000
Cu 2.0655 1.4870 5.5210
Br 4.0824 1.8776 4.2695
Br 4.4572 5.2659 1.1827
Ag 7.6857 5.4544 8.9464
Br 8.0898 4.7626 2.5812
```

Properties
Space group = C2/c, No. 15
E_form (uncorrected) = -93 meV per atom


Number 1: magnetic moment 0.000 μB per atom. Number 2: magnetic moment 0.000 μB per atom.